<P>
# RbVAs2 GGA-PBE relaxed
data_RbVAs2
_cell_length_a 3.529
_cell_length_b 3.529
_cell_length_c 8.726
_cell_angle_alpha 78.34
_cell_angle_beta 78.34
_cell_angle_gamma 60.00
_space_group_name_H-M_alt 'P 1'
_space_group_IT_number 1
_space_group_name_Hall 'P 1'
loop_
_atom_site_label
_atom_site_fract_x
_atom_site_fract_y
_atom_site_fract_z
As1 0.727 0.727 0.820
As2 0.273 0.273 0.180
V1 0.000 0.000 0.000
Rb1 0.500 0.500 0.500
# Theoretical density in Mg/m³: 5.195
# Spin magnetization in μB per formula unit: 0.0
# Space group: R-3m
# DOS at the Fermi energy in states/eV per cell: 2.8


<Q>
# RbVAs2 GGA-PBE relaxed
data_RbVAs2
_cell_length_a 5.021
_cell_length_b 5.021
_cell_length_c 5.021
_cell_angle_alpha 60.00
_cell_angle_beta 60.00
_cell_angle_gamma 60.00
_space_group_name_H-M_alt 'P 1'
_space_group_IT_number 1
_space_group_name_Hall 'P 1'
loop_
_atom_site_label
_atom_site_fract_x
_atom_site_fract_y
_atom_site_fract_z
Rb1 0.500 0.500 0.500
As1 0.250 0.250 0.250
As2 0.750 0.750 0.750
V1 0.000 0.000 0.000
# Theoretical density in Mg/m³: 5.310
# Spin magnetization in μB per formula unit: 3.1
# Space group: Fm-3m
# DOS at the Fermi energy in states/eV per cell: 2.7


<R>
# RbVAs2 GGA-PBE relaxed
data_RbVAs2
_cell_length_a 3.238
_cell_length_b 3.238
_cell_length_c 8.284
_cell_angle_alpha 90.00
_cell_angle_beta 90.00
_cell_angle_gamma 90.00
_space_group_name_H-M_alt 'P 1'
_space_group_IT_number 1
_space_group_name_Hall 'P 1'
loop_
_atom_site_label
_atom_site_fract_x
_atom_site_fract_y
_atom_site_fract_z
V1 0.500 0.500 0.000
As1 0.000 0.000 0.827
As2 0.000 0.000 0.173
Rb1 0.500 0.500 0.500
# Theoretical density in Mg/m³: 5.471
# Spin magnetization in μB per formula unit: 1.3
# Space group: P4/mmm
# DOS at the Fermi energy in states/eV per cell: 2.6


<S>
# RbVAs2 GGA-PBE relaxed
data_RbVAs2
_cell_length_a 6.121
_cell_length_b 6.121
_cell_length_c 8.307
_cell_angle_alpha 68.38
_cell_angle_beta 68.38
_cell_angle_gamma 90.00
_space_group_name_H-M_alt 'P 1'
_space_group_IT_number 1
_space_group_name_Hall 'P 1'
loop_
_atom_site_label
_atom_site_fract_x
_atom_site_fract_y
_atom_site_fract_z
V1 0.500 0.500 0.000
V2 0.250 0.750 0.500
As1 0.375 0.125 0.250
As2 0.375 0.625 0.250
As3 0.875 0.625 0.750
As4 0.375 0.625 0.750
Rb1 0.000 0.000 0.000
Rb2 0.750 0.250 0.500
# Theoretical density in Mg/m³: 3.579
# Spin magnetization in μB per formula unit: 1.1
# Space group: I4_1/amd
# DOS at the Fermi energy in states/eV per cell: 3.5


Ordering by calculated energy gives the sequence <S>, <P>, <R>, <Q>, with the first entry being the most stable.


<P>
# RbAs3W GGA-PBE relaxed
data_RbAs3W
_cell_length_a 5.176
_cell_length_b 5.176
_cell_length_c 5.176
_cell_angle_alpha 90.00
_cell_angle_beta 90.00
_cell_angle_gamma 90.00
_space_group_name_H-M_alt 'P 1'
_space_group_IT_number 1
_space_group_name_Hall 'P 1'
loop_
_atom_site_label
_atom_site_fract_x
_atom_site_fract_y
_atom_site_fract_z
W1 0.500 0.500 0.500
Rb1 0.000 0.000 0.000
As1 0.000 0.500 0.000
As2 0.500 0.000 0.000
As3 0.000 0.000 0.500
# Theoretical density in Mg/m³: 5.915
# Spin magnetization in μB per formula unit: 0.0
# Space group: Pm-3m
# DOS at the Fermi energy in states/eV per cell: 15.8


<Q>
# RbAs3W GGA-PBE relaxed
data_RbAs3W
_cell_length_a 5.022
_cell_length_b 5.022
_cell_length_c 5.022
_cell_angle_alpha 90.00
_cell_angle_beta 90.00
_cell_angle_gamma 90.00
_space_group_name_H-M_alt 'P 1'
_space_group_IT_number 1
_space_group_name_Hall 'P 1'
loop_
_atom_site_label
_atom_site_fract_x
_atom_site_fract_y
_atom_site_fract_z
As1 0.500 0.000 0.000
As2 0.000 0.000 0.500
As3 0.000 0.500 0.000
Rb1 0.500 0.500 0.500
W1 0.000 0.000 0.000
# Theoretical density in Mg/m³: 6.479
# Spin magnetization in μB per formula unit: 0.0
# Space group: Pm-3m
# DOS at the Fermi energy in states/eV per cell: 4.0


Ordering by calculated energy gives the sequence <Q>, <P>, with the first entry being the most stable.


<P>
# RbAsW3 GGA-PBE relaxed
data_RbAsW3
_cell_length_a 4.744
_cell_length_b 4.744
_cell_length_c 4.744
_cell_angle_alpha 90.00
_cell_angle_beta 90.00
_cell_angle_gamma 90.00
_space_group_name_H-M_alt 'P 1'
_space_group_IT_number 1
_space_group_name_Hall 'P 1'
loop_
_atom_site_label
_atom_site_fract_x
_atom_site_fract_y
_atom_site_fract_z
W1 0.500 0.000 0.000
W2 0.000 0.000 0.500
W3 0.000 0.500 0.000
As1 0.500 0.500 0.500
Rb1 0.000 0.000 0.000
# Theoretical density in Mg/m³: 11.069
# Spin magnetization in μB per formula unit: 0.0
# Space group: Pm-3m
# DOS at the Fermi energy in states/eV per cell: 7.1


<Q>
# RbAsW3 GGA-PBE relaxed
data_RbAsW3
_cell_length_a 4.816
_cell_length_b 4.816
_cell_length_c 4.816
_cell_angle_alpha 90.00
_cell_angle_beta 90.00
_cell_angle_gamma 90.00
_space_group_name_H-M_alt 'P 1'
_space_group_IT_number 1
_space_group_name_Hall 'P 1'
loop_
_atom_site_label
_atom_site_fract_x
_atom_site_fract_y
_atom_site_fract_z
Rb1 0.500 0.500 0.500
As1 0.000 0.000 0.000
W1 0.500 0.000 0.000
W2 0.000 0.500 0.000
W3 0.000 0.000 0.500
# Theoretical density in Mg/m³: 10.580
# Spin magnetization in μB per formula unit: 0.0
# Space group: Pm-3m
# DOS at the Fermi energy in states/eV per cell: 9.5


Ordering by calculated energy gives the sequence <Q>, <P>, with the first entry being the most stable.


<P>
# RbAs2W GGA-PBE relaxed
data_RbAs2W
_cell_length_a 3.445
_cell_length_b 3.445
_cell_length_c 10.178
_cell_angle_alpha 80.26
_cell_angle_beta 80.26
_cell_angle_gamma 60.00
_space_group_name_H-M_alt 'P 1'
_space_group_IT_number 1
_space_group_name_Hall 'P 1'
loop_
_atom_site_label
_atom_site_fract_x
_atom_site_fract_y
_atom_site_fract_z
Rb1 0.000 0.000 0.000
As1 0.111 0.111 0.667
As2 0.889 0.889 0.333
W1 0.500 0.500 0.500
# Theoretical density in Mg/m³: 6.786
# Spin magnetization in μB per formula unit: 0.0
# Space group: R-3m
# DOS at the Fermi energy in states/eV per cell: 2.1


<Q>
# RbAs2W GGA-PBE relaxed
data_RbAs2W
_cell_length_a 7.027
_cell_length_b 7.027
_cell_length_c 7.998
_cell_angle_alpha 63.94
_cell_angle_beta 63.94
_cell_angle_gamma 90.00
_space_group_name_H-M_alt 'P 1'
_space_group_IT_number 1
_space_group_name_Hall 'P 1'
loop_
_atom_site_label
_atom_site_fract_x
_atom_site_fract_y
_atom_site_fract_z
As1 0.375 0.127 0.750
As2 0.877 0.625 0.250
As3 0.873 0.125 0.250
As4 0.875 0.123 0.750
Rb1 0.250 0.750 0.500
Rb2 0.500 0.500 0.000
W1 0.750 0.250 0.500
W2 0.000 0.000 0.000
# Theoretical density in Mg/m³: 4.498
# Spin magnetization in μB per formula unit: 0.0
# Space group: I-42d
# DOS at the Fermi energy in states/eV per cell: 2.2


<R>
# RbAs2W GGA-PBE relaxed
data_RbAs2W
_cell_length_a 4.913
_cell_length_b 4.913
_cell_length_c 4.913
_cell_angle_alpha 60.00
_cell_angle_beta 60.00
_cell_angle_gamma 60.00
_space_group_name_H-M_alt 'P 1'
_space_group_IT_number 1
_space_group_name_Hall 'P 1'
loop_
_atom_site_label
_atom_site_fract_x
_atom_site_fract_y
_atom_site_fract_z
As1 0.250 0.250 0.250
As2 0.750 0.750 0.750
W1 0.500 0.500 0.500
Rb1 0.000 0.000 0.000
# Theoretical density in Mg/m³: 8.299
# Spin magnetization in μB per formula unit: 1.9
# Space group: Fm-3m
# DOS at the Fermi energy in states/eV per cell: 1.7


Ordering by calculated energy gives the sequence <Q>, <P>, <R>, with the first entry being the most stable.


<P>
# Rb3YAs GGA-PBE relaxed
data_Rb3YAs
_cell_length_a 6.721
_cell_length_b 6.721
_cell_length_c 6.721
_cell_angle_alpha 90.00
_cell_angle_beta 90.00
_cell_angle_gamma 90.00
_space_group_name_H-M_alt 'P 1'
_space_group_IT_number 1
_space_group_name_Hall 'P 1'
loop_
_atom_site_label
_atom_site_fract_x
_atom_site_fract_y
_atom_site_fract_z
Y1 0.500 0.500 0.500
Rb1 0.000 0.000 0.500
Rb2 0.500 0.000 0.000
Rb3 0.000 0.500 0.000
As1 0.000 0.000 0.000
# Theoretical density in Mg/m³: 2.298
# Spin magnetization in μB per formula unit: 1.0
# Space group: Pm-3m
# DOS at the Fermi energy in states/eV per cell: 8.8


<Q>
# Rb3YAs GGA-PBE relaxed
data_Rb3YAs
_cell_length_a 7.061
_cell_length_b 7.061
_cell_length_c 7.061
_cell_angle_alpha 90.00
_cell_angle_beta 90.00
_cell_angle_gamma 90.00
_space_group_name_H-M_alt 'P 1'
_space_group_IT_number 1
_space_group_name_Hall 'P 1'
loop_
_atom_site_label
_atom_site_fract_x
_atom_site_fract_y
_atom_site_fract_z
Y1 0.000 0.000 0.000
Rb1 0.500 0.000 0.000
Rb2 0.000 0.500 0.000
Rb3 0.000 0.000 0.500
As1 0.500 0.500 0.500
# Theoretical density in Mg/m³: 1.982
# Spin magnetization in μB per formula unit: 1.0
# Space group: Pm-3m
# DOS at the Fermi energy in states/eV per cell: 10.5


Ordering by calculated energy gives the sequence <P>, <Q>, with the first entry being the most stable.


<P>
# RbY3As GGA-PBE relaxed
data_RbY3As
_cell_length_a 5.387
_cell_length_b 5.387
_cell_length_c 5.387
_cell_angle_alpha 90.00
_cell_angle_beta 90.00
_cell_angle_gamma 90.00
_space_group_name_H-M_alt 'P 1'
_space_group_IT_number 1
_space_group_name_Hall 'P 1'
loop_
_atom_site_label
_atom_site_fract_x
_atom_site_fract_y
_atom_site_fract_z
Y1 0.000 0.500 0.000
Y2 0.500 0.000 0.000
Y3 0.000 0.000 0.500
As1 0.500 0.500 0.500
Rb1 0.000 0.000 0.000
# Theoretical density in Mg/m³: 4.538
# Spin magnetization in μB per formula unit: 0.0
# Space group: Pm-3m
# DOS at the Fermi energy in states/eV per cell: 3.5


<Q>
# RbY3As GGA-PBE relaxed
data_RbY3As
_cell_length_a 5.667
_cell_length_b 5.667
_cell_length_c 5.667
_cell_angle_alpha 90.00
_cell_angle_beta 90.00
_cell_angle_gamma 90.00
_space_group_name_H-M_alt 'P 1'
_space_group_IT_number 1
_space_group_name_Hall 'P 1'
loop_
_atom_site_label
_atom_site_fract_x
_atom_site_fract_y
_atom_site_fract_z
Y1 0.000 0.500 0.000
Y2 0.000 0.000 0.500
Y3 0.500 0.000 0.000
As1 0.000 0.000 0.000
Rb1 0.500 0.500 0.500
# Theoretical density in Mg/m³: 3.897
# Spin magnetization in μB per formula unit: 0.0
# Space group: Pm-3m
# DOS at the Fermi energy in states/eV per cell: 10.1


Ordering by calculated energy gives the sequence <Q>, <P>, with the first entry being the most stable.